Entry 1:
First-principles (PBE-GGA) data for a relaxed structure of NaAgBMo2, as listed in Alexandria.

Values from the calculation:
The value obtained for the formation energy is 2.702 eV/atom. For the volume, the calculation gives 130.66 Å³ per cell.

Unit cell a=5.123 b=4.979 c=5.123 alpha=90.00 beta=90.00 gamma=90.00
Site moments in Bohr magnetons follow the coordinates.
Atoms (fractional coordinates):
Ag: 0.000 0.000 0.000  0.16
B: 0.500 0.500 0.500  -0.17
Na: 0.000 0.500 0.000  -0.01
Mo: 0.000 0.000 0.500  2.91
Mo: 0.500 0.000 0.000  2.88

Entry 2:
First-principles (PBE-GGA) data for a relaxed structure of K4SiW, as listed in Alexandria.

Values from the calculation:
For the volume, the calculation gives 207.93 Å³ per cell. The calculation puts the final energy at -13.8 eV per cell.

Unit cell a=6.650 b=6.650 c=6.650 alpha=60.00 beta=60.00 gamma=60.00
Site moments in Bohr magnetons follow the coordinates.
Atoms (fractional coordinates):
Si: 0.750 0.750 0.750  -0.08
K: 0.375 0.874 0.375  0.02
K: 0.375 0.375 0.375  0.02
K: 0.375 0.375 0.874  0.02
K: 0.874 0.375 0.375  0.02
W: 0.000 0.000 0.000  3.19

Entry 3:
First-principles (PBE-GGA) data for a relaxed structure of Pu3Si4Pd2, as listed in Alexandria.

Values from the calculation:
For the volume, the calculation gives 172.89 Å³ per cell. The calculation puts the final energy at -80.3 eV per cell.

Unit cell a=4.179 b=5.851 c=8.093 alpha=109.29 beta=90.00 gamma=110.92
Site moments in Bohr magnetons follow the coordinates.
Atoms (fractional coordinates):
Si: 0.092 0.184 0.408  -0.04
Si: 0.908 0.816 0.592  -0.04
Si: 0.730 0.461 0.069  -0.05
Si: 0.270 0.539 0.931  -0.05
Pu: 0.391 0.782 0.311  5.06
Pu: 0.609 0.218 0.689  5.06
Pu: 0.000 0.000 0.000  5.18
Pd: 0.313 0.627 0.655  -0.01
Pd: 0.687 0.373 0.345  -0.01

Entry 4:
First-principles (PBE-GGA) data for a relaxed structure of Cs2MgI, as listed in Alexandria.

Values from the calculation:
For the volume, the calculation gives 226.36 Å³ per cell. The calculation puts the final energy at -6.6 eV per cell.

Unit cell a=6.841 b=6.841 c=6.841 alpha=60.00 beta=60.00 gamma=60.00
Atoms (fractional coordinates):
Cs: 0.750 0.750 0.750
Cs: 0.250 0.250 0.250
Mg: 0.000 0.000 0.000
I: 0.500 0.500 0.500

Entry 5:
First-principles (PBE-GGA) data for a relaxed structure of PmErTh2Bi5, as listed in Alexandria.

Values from the calculation:
The value obtained for the formation energy is 0.002 eV/atom. For the volume, the calculation gives 343.29 Å³ per cell.

Unit cell a=5.383 b=5.383 c=11.849 alpha=90.00 beta=90.00 gamma=90.00
Atoms (fractional coordinates):
Th: 0.500 0.500 0.297
Th: 0.500 0.500 0.703
Bi: 0.000 0.000 0.250
Bi: 0.500 0.000 0.500
Bi: 0.500 0.500 0.000
Bi: 0.000 0.000 0.750
Bi: 0.000 0.500 0.500
Pm: 0.000 0.000 0.000
Er: 0.000 0.000 0.500

Copy entry 2 word for word.
First-principles (PBE-GGA) data for a relaxed structure of K4SiW, as listed in Alexandria.

Values from the calculation:
For the volume, the calculation gives 207.93 Å³ per cell. The calculation puts the final energy at -13.8 eV per cell.

Unit cell a=6.650 b=6.650 c=6.650 alpha=60.00 beta=60.00 gamma=60.00
Site moments in Bohr magnetons follow the coordinates.
Atoms (fractional coordinates):
Si: 0.750 0.750 0.750  -0.08
K: 0.375 0.874 0.375  0.02
K: 0.375 0.375 0.375  0.02
K: 0.375 0.375 0.874  0.02
K: 0.874 0.375 0.375  0.02
W: 0.000 0.000 0.000  3.19